This record from Alexandria via LeMat-Bulk describes an optimized crystal structure of Nd12Sm6Dy. The functional is PBE-GGA.

The density of states at the Fermi level comes out at 1.671 states/eV/atom. The formation energy from the elements comes out at 5.9 eV/f.u. Its polymorph energy (0 for the lowest one) is 178.8 meV per atom.

The structure belongs to space group R-3m (No. 166, hexagonal axes); the cell edges are 16.4754, 16.4754 and 8.6170 Å and the angles 90.00°, 90.00° and 120.00°. Symmetry generates all atoms from Nd at (0.0000, 0.3802, 0.0000), Nd at (0.0933, 0.5467, 0.3184), Sm at (0.0836, 0.1672, 0.1454) and Dy at (0.0000, 0.0000, 0.5000).


This record from Alexandria via LeMat-Bulk describes an optimized crystal structure of TbYCuPt. The functional is PBE-GGA.

The density of states at the Fermi level comes out at 0.623 states/eV/atom. The formation energy from the elements comes out at -3.2 eV/f.u. Its polymorph energy (0 for the lowest one) is 0.0 meV per atom.

The structure belongs to space group Amm2 (No. 38); the cell edges are 4.460, 3.798 and 10.505 Å and the angles 90.00°, 90.00° and 90.00°. Symmetry generates all atoms from Tb at (0.000, 0.000, 0.000), Y at (0.500, 0.000, 0.277), Cu at (0.000, 0.000, 0.716) and Pt at (0.500, 0.000, 0.560).


This record from Alexandria via LeMat-Bulk describes an optimized crystal structure of NiAg2P. The functional is PBE-GGA.

The density of states at the Fermi level comes out at 0.497 states/eV/atom. The formation energy from the elements comes out at 1.2 eV/f.u.

The structure belongs to space group I-4m2 (No. 119); the cell edges are 3.990, 3.990 and 7.654 Å and the angles 90.00°, 90.00° and 90.00°. Symmetry generates all atoms from Ni at (0.000, 0.000, 0.000), Ag at (0.000, 0.000, 0.500), Ag at (0.000, 0.500, 0.250) and P at (0.000, 0.500, 0.750).


This record from Alexandria via LeMat-Bulk describes an optimized crystal structure of GdTlNi2. The functional is PBE-GGA.

The density of states at the Fermi level comes out at 0.846 states/eV/atom. The formation energy from the elements comes out at -0.7 eV/f.u.

The structure belongs to space group Fm-3m (No. 225); the cell edges are 6.600, 6.600 and 6.600 Å and the angles 90.00°, 90.00° and 90.00°. Symmetry generates all atoms from Gd at (0.000, 0.000, 0.000), Tl at (0.000, 0.000, 0.500) and Ni at (0.250, 0.250, 0.250).


This record from Alexandria via LeMat-Bulk describes an optimized crystal structure of MnIn2W. The functional is PBE-GGA.

The density of states at the Fermi level comes out at 0.542 states/eV/atom. The formation energy from the elements comes out at 1.9 eV/f.u. Its polymorph energy (0 for the lowest one) is 150.6 meV per atom.

The structure belongs to space group Imm2 (No. 44); the cell edges are 3.004, 4.822 and 10.306 Å and the angles 90.00°, 90.00° and 90.00°. Symmetry generates all atoms from Mn at (0.000, 0.000, 0.000), In at (0.000, 0.000, 0.542), In at (0.000, 0.500, 0.754) and W at (0.000, 0.500, 0.306).


This record from Alexandria via LeMat-Bulk describes an optimized crystal structure of BeZnInNiPd. The functional is PBE-GGA.

The density of states at the Fermi level comes out at 0.372 states/eV/atom. The formation energy from the elements comes out at -1.2 eV/f.u. Its polymorph energy (0 for the lowest one) is 22.9 meV per atom.

The structure belongs to space group Amm2 (No. 38); the cell edges are 3.084, 3.450 and 13.543 Å and the angles 90.00°, 90.00° and 90.00°. Symmetry generates all atoms from Be at (0.000, 0.000, 0.000), Zn at (0.500, 0.000, 0.151), In at (0.000, 0.000, 0.802), Ni at (0.000, 0.000, 0.603) and Pd at (0.500, 0.000, 0.437).


This record from Alexandria via LeMat-Bulk describes an optimized crystal structure of CaCF2. The functional is PBE-GGA.

The density of states at the Fermi level comes out at 0.000 states/eV/atom. Its polymorph energy (0 for the lowest one) is 0.0 meV per atom. The uncorrected formation energy is -1.009 eV/atom.

The structure belongs to space group R-3m (No. 166, hexagonal axes); the cell edges are 3.8321, 3.8321 and 17.0812 Å and the angles 90.00°, 90.00° and 120.00°. Symmetry generates all atoms from Ca at (0.0000, 0.0000, 0.0000), C at (0.0000, 0.0000, 0.5000) and F at (0.0000, 0.0000, 0.3776).


This record from Alexandria via LeMat-Bulk describes an optimized crystal structure of EuNbGe2. The functional is PBE-GGA.

The density of states at the Fermi level comes out at 0.623 states/eV/atom. The formation energy from the elements comes out at -1.5 eV/f.u. Its polymorph energy (0 for the lowest one) is 0.0 meV per atom.

The structure belongs to space group P4/mmm (No. 123); the cell edges are 3.542, 3.542 and 6.547 Å and the angles 90.00°, 90.00° and 90.00°. Symmetry generates all atoms from Eu at (0.000, 0.000, 0.000), Nb at (0.000, 0.000, 0.500) and Ge at (0.500, 0.500, 0.303).